Li4V2Cr3Sb3O16 | PBE with a Hubbard U | optimized geometry

* total magnetic moment: 12.99 μB/f.u.
* energy: -0.491 Ry/atom

a b c (Å): 6.071 6.173 9.776
angles (deg): 90.81 90.24 118.65
Positions (direct):
1 Li 0.319 0.645 0.902
2 Li 0.995 0.020 0.000
3 Li 0.992 0.020 0.492
4 Li 0.662 0.335 0.383
5 V 0.356 0.681 0.480
6 V 0.673 0.316 0.990
7 Cr 0.168 0.341 0.216
8 Cr 0.663 0.834 0.213
9 Cr 0.830 0.165 0.715
10 Sb 0.169 0.835 0.212
11 Sb 0.342 0.169 0.713
12 Sb 0.837 0.662 0.712
13 O 0.169 0.326 0.605
14 O 0.483 0.533 0.336
15 O 0.330 0.664 0.108
16 O 0.003 0.008 0.310
17 O 0.017 0.022 0.815
18 O 0.677 0.851 0.592
19 O 0.044 0.536 0.339
20 O 0.480 0.966 0.334
21 O 0.832 0.161 0.108
22 O 0.184 0.863 0.588
23 O 0.513 0.023 0.832
24 O 0.951 0.439 0.856
25 O 0.649 0.297 0.596
26 O 0.319 0.153 0.104
27 O 0.495 0.448 0.855
28 O 0.849 0.687 0.099